This record from Alexandria describes crystalline AlInRe3 at its relaxed geometry. The functional is PBEsol.

Cell lengths 4.453, 4.453, 4.453 Å; angles 90.00, 90.00, 90.00 degrees
Positions (direct):
Re 0.000 0.500 0.000
Re 0.000 0.000 0.500
Re 0.500 0.000 0.000
Al 0.000 0.000 0.000
In 0.500 0.500 0.500

Summary:
Density of states at the Fermi level in states/eV per atom: 0.93
Energy of formation in eV/f.u.: 8.66
VASP energy in eV/atom: -7.68
Space group: Pm-3m, No. 221